First-principles (GGA-PBE) data for crystalline LiCa2Pd at its relaxed geometry, as listed in Alexandria.

Structure (POSCAR):
```
LiCa2Pd
1.0
6.384 -3.829 -4.687
-3.793 6.406 4.687
-4.534 1.968 7.277
Li Ca Pd
1 2 1
Cartesian
0.000 0.000 0.000
-5.504 5.535 7.908
-2.823 2.839 4.056
-4.163 4.187 5.982
```

Results
Crystal system: orthorhombic
Magnetic moment, μB/f.u.: 0.0
SG: Immm, No. 71
ρ, g/cm3: 2.837
ΔE_f, eV/atom: -0.149
E_tot, eV for the cell shown: -11.708